Compound: La4TlTe
Source: Alexandria
Functional: PBE
Structure: relaxed

## Properties
Space-group type ... F-43m, No. 216
Formation energy without anion corrections ... -0.12 eV per atom
Electronic total energy ... -25.9 eV per cell

Unit cell a=6.497 b=6.497 c=6.497 alpha=60.00 beta=60.00 gamma=60.00
Fractional coordinates of all 6 atoms:
La (0.376, 0.376, 0.376)
La (0.376, 0.376, 0.872)
La (0.376, 0.872, 0.376)
La (0.872, 0.376, 0.376)
Tl (0.750, 0.750, 0.750)
Te (0.000, 0.000, 0.000)

---

Compound: Cs2Br3Cl6
Source: Alexandria
Functional: PBE
Structure: relaxed

## Properties
Space-group type ... C2/c, No. 15
Formation energy without anion corrections ... -0.76 eV per atom
Electronic total energy ... -52.3 eV per cell

Unit cell a=10.568 b=10.568 c=17.227 alpha=111.31 beta=111.31 gamma=34.06
Fractional coordinates of all 22 atoms:
Cs (0.131, 0.653, 0.986)
Cs (0.347, 0.869, 0.514)
Cs (0.653, 0.131, 0.486)
Cs (0.869, 0.347, 0.014)
Br (0.209, 0.492, 0.242)
Br (0.261, 0.739, 0.750)
Br (0.492, 0.209, 0.742)
Br (0.508, 0.791, 0.258)
Br (0.739, 0.261, 0.250)
Br (0.791, 0.508, 0.758)
Cl (0.181, 0.641, 0.389)
Cl (0.218, 0.702, 0.601)
Cl (0.236, 0.343, 0.099)
Cl (0.298, 0.782, 0.899)
Cl (0.343, 0.236, 0.599)
Cl (0.359, 0.819, 0.111)
Cl (0.641, 0.181, 0.889)
Cl (0.657, 0.764, 0.401)
Cl (0.702, 0.218, 0.101)
Cl (0.764, 0.657, 0.901)
Cl (0.782, 0.298, 0.399)
Cl (0.819, 0.359, 0.611)

---

Compound: Ag2HgP2
Source: Alexandria
Functional: PBE
Structure: relaxed

## Properties
Space-group type ... P4/mbm, No. 127
E_form ... 0.3728 eV per atom
Electronic total energy ... -29.9 eV per cell

Unit cell a=8.350 b=8.350 c=2.734 alpha=90.00 beta=90.00 gamma=90.00
Fractional coordinates of all 10 atoms:
Ag (0.153, 0.347, 0.000)
Ag (0.347, 0.847, 0.000)
Ag (0.653, 0.153, 0.000)
Ag (0.847, 0.653, 0.000)
Hg (0.000, 0.000, 0.500)
Hg (0.500, 0.500, 0.500)
P (0.143, 0.643, 0.500)
P (0.357, 0.143, 0.500)
P (0.643, 0.857, 0.500)
P (0.857, 0.357, 0.500)

---

Compound: CoCu2Os
Source: Alexandria
Functional: PBE
Structure: relaxed

## Properties
Space-group type ... P4/mmm, No. 123
E_form ... 0.4445 eV per atom
Electronic total energy ... -24.7 eV per cell

Unit cell a=4.393 b=4.393 c=2.618 alpha=90.00 beta=90.00 gamma=90.00
Fractional coordinates of all 4 atoms:
Co (0.000, 0.000, 0.000)
Cu (0.000, 0.500, 0.500)
Cu (0.500, 0.000, 0.500)
Os (0.500, 0.500, 0.000)

---

Q: electronic total energy of number 3 (Ag2HgP2)?
A: -29.9 eV per cell